The following is a PBE calculation of a relaxed Sm3Zn4Cu2 crystal, from the Alexandria database.

POSCAR file:
```
Sm3Zn4Cu2
1.0
-0.629 2.777 3.416
-2.488 -2.544 4.505
5.961 -1.975 5.598
Sm Zn Cu
3 4 2
direct
0.325 0.693 0.656
0.000 0.000 0.000
0.675 0.307 0.344
0.276 0.388 0.061
0.724 0.612 0.939
0.039 0.295 0.626
0.961 0.705 0.374
0.400 0.931 0.269
0.600 0.069 0.731
```

## Properties
DFT formation energy = -0.304 eV/atom
Mass density = 7.530 Mg/m³
N(E_F) = 8.02 states/eV/f.u.
Energy above the lowest structure with this stoichiometry = 0.0000 eV per atom

The following is a PBE calculation of a relaxed Sm3Zn3Cu8 crystal, from the Alexandria database.

POSCAR file:
```
Sm3Zn3Cu8
1.0
4.262 0.000 0.000
2.131 7.680 0.232
2.131 2.314 7.327
Sm Zn Cu
3 3 8
direct
0.500 0.500 0.500
0.799 0.201 0.201
0.201 0.799 0.799
0.500 0.000 0.000
0.000 0.792 0.208
0.000 0.208 0.792
0.628 0.090 0.654
0.372 0.910 0.346
0.628 0.654 0.090
0.372 0.346 0.910
0.831 0.812 0.527
0.169 0.188 0.473
0.831 0.527 0.812
0.169 0.473 0.188
```

## Properties
DFT formation energy = -0.221 eV/atom
Mass density = 8.078 Mg/m³
N(E_F) = 8.61 states/eV/f.u.

The following is a PBE calculation of a relaxed Sm3ZnCu2 crystal, from the Alexandria database.

POSCAR file:
```
Sm3ZnCu2
1.0
5.059 0.000 0.000
-2.529 4.381 0.000
0.000 0.000 12.431
Sm Zn Cu
6 2 4
direct
0.333 0.667 0.418
0.667 0.333 0.079
0.000 0.000 0.755
0.000 0.000 0.245
0.333 0.667 0.921
0.667 0.333 0.582
0.333 0.667 0.670
0.667 0.333 0.330
0.000 0.000 0.500
0.333 0.667 0.173
0.667 0.333 0.827
0.000 0.000 0.000
```

## Properties
DFT formation energy = -0.221 eV/atom
Mass density = 7.758 Mg/m³
N(E_F) = 4.62 states/eV/f.u.
Energy above the lowest structure with this stoichiometry = 0.0072 eV per atom

The following is a PBE calculation of a relaxed Sm2ZnCu2 crystal, from the Alexandria database.

POSCAR file:
```
Sm2ZnCu2
1.0
-2.858 2.325 -2.345
-4.809 -2.733 -0.914
-4.784 4.997 6.718
Sm Zn Cu
4 2 4
direct
0.679 0.302 0.340
0.915 0.282 0.888
0.321 0.698 0.660
0.085 0.718 0.112
0.623 0.103 0.650
0.377 0.897 0.350
0.076 0.285 0.563
0.624 0.864 0.887
0.924 0.715 0.437
0.376 0.136 0.113
```

## Properties
DFT formation energy = -0.241 eV/atom
Mass density = 7.736 Mg/m³
N(E_F) = 4.63 states/eV/f.u.

The following is a PBE calculation of a relaxed Sm5Zn2Cu2 crystal, from the Alexandria database.

POSCAR file:
```
Sm5Zn2Cu2
1.0
-3.933 6.484 1.868
-4.296 -1.029 -5.475
-2.891 -3.922 7.526
Sm Zn Cu
10 4 4
direct
0.000 0.000 0.000
0.500 0.500 0.000
0.816 0.823 0.277
0.184 0.454 0.277
0.316 0.954 0.277
0.684 0.323 0.277
0.184 0.177 0.723
0.816 0.546 0.723
0.684 0.046 0.723
0.316 0.677 0.723
0.000 0.221 0.442
0.500 0.721 0.442
0.000 0.779 0.558
0.500 0.279 0.558
0.626 0.895 0.000
0.374 0.105 0.000
0.126 0.605 0.000
0.874 0.395 0.000
```

## Properties
DFT formation energy = -0.150 eV/atom
Mass density = 7.401 Mg/m³
N(E_F) = 9.72 states/eV/f.u.

The following is a PBE calculation of a relaxed Sm3Zn4Cu4 crystal, from the Alexandria database.

POSCAR file:
```
Sm3Zn4Cu4
1.0
-0.546 -2.465 -2.766
3.001 -2.490 1.639
-7.999 -8.683 6.777
Sm Zn Cu
3 4 4
direct
0.148 0.648 0.705
0.852 0.352 0.295
0.000 0.000 0.000
0.596 0.096 0.807
0.254 0.255 0.492
0.746 0.745 0.508
0.404 0.904 0.193
0.547 0.548 0.905
0.453 0.452 0.095
0.309 0.810 0.381
0.691 0.190 0.619
```

## Properties
DFT formation energy = -0.266 eV/atom
Mass density = 7.606 Mg/m³
N(E_F) = 5.92 states/eV/f.u.
Energy above the lowest structure with this stoichiometry = 0.0000 eV per atom